SCAN ScTlCd, PBEsol geometry; energy relative to the elements = -32 kJ/mol of formula units; space-group type = P3m1 (156)
1.0
-2.360 2.238 0.810
-0.372 -1.915 -2.726
-3.348 -4.955 3.937
Cd Sc Tl
1 1 1
Direct
0.000 0.000 0.995
0.333 0.667 0.670
0.667 0.333 0.335